# Ce4SiBiSe2

A relaxed Ce4SiBiSe2 crystal (PBE-GGA, Alexandria via LeMat-Bulk).

The total magnetic moment comes out at 3.47 μB/cell. As for the crystal system: monoclinic. Its uncorrected formation energy is -1.2211 eV per atom.

Cell lengths 7.3943, 4.3054, 7.5513 Å; angles 90.00, 109.42, 90.00 degrees
Last column: nearest neighbours and their distance in Å.
Space group P2/m (No. 10)
Unique sites:
Ce 0.2383 0.0000 0.2306 [2 per cell]  3 Se 2.95-3.10, 1 Si 3.00, 2 Bi 3.15
Ce 0.2499 0.5000 0.7644 [2 per cell]  3 Se 2.96-3.10, 2 Si 3.01, 1 Bi 3.14
Si 0.5000 0.0000 0.0000 [1 per cell]  6 Ce 3.00-3.01
Bi 0.5000 0.5000 0.5000 [1 per cell]  6 Ce 3.14-3.15
Se 0.0000 0.0000 0.5000 [1 per cell]  6 Ce 3.10
Se 0.0000 0.5000 0.0000 [1 per cell]  6 Ce 2.95-2.96

---

# CeSmBiSe

A relaxed CeSmBiSe crystal (PBE-GGA, Alexandria via LeMat-Bulk).

The total magnetic moment comes out at 3.60 μB/cell. As for the crystal system: trigonal. Its uncorrected formation energy is -1.1746 eV per atom.

Cell lengths 4.2707, 4.2707, 23.2446 Å; angles 90.00, 90.00, 120.00 degrees
Last column: nearest neighbours and their distance in Å.
Space group R3m (No. 160, hexagonal axes)
Unique sites:
Ce 0.0000 0.0000 0.0000 [3 per cell]  3 Se 3.10, 3 Bi 3.17
Sm 0.0000 0.0000 0.8374 [3 per cell]  3 Se 3.11, 3 Bi 3.16
Bi 0.0000 0.0000 0.4189 [3 per cell]  3 Sm 3.16, 3 Ce 3.17
Se 0.0000 0.0000 0.5859 [3 per cell]  3 Ce 3.10, 3 Sm 3.11

---

# Ce4SnBi2Se

A relaxed Ce4SnBi2Se crystal (PBE-GGA, Alexandria via LeMat-Bulk).

The total magnetic moment comes out at 3.40 μB/cell. As for the crystal system: monoclinic. Its uncorrected formation energy is -0.9584 eV per atom.

Cell lengths 7.7244, 4.4874, 7.7973 Å; angles 90.00, 109.50, 90.00 degrees
Last column: nearest neighbours and their distance in Å.
Space group P2/m (No. 10)
Unique sites:
Ce 0.2390 0.0000 0.2339 [2 per cell]  2 Se 3.09, 1 Sn 3.14, 3 Bi 3.20-3.26
Ce 0.2480 0.5000 0.7615 [2 per cell]  1 Se 3.08, 2 Sn 3.14, 3 Bi 3.20-3.26
Sn 0.5000 0.0000 0.0000 [1 per cell]  6 Ce 3.14
Bi 0.0000 0.0000 0.5000 [1 per cell]  6 Ce 3.20
Bi 0.5000 0.5000 0.5000 [1 per cell]  6 Ce 3.26
Se 0.0000 0.5000 0.0000 [1 per cell]  6 Ce 3.08-3.09

---

# Ce6BiTe3Se2

A relaxed Ce6BiTe3Se2 crystal (PBE-GGA, Alexandria via LeMat-Bulk).

The total magnetic moment comes out at 13.09 μB/cell. As for the crystal system: monoclinic. Its uncorrected formation energy is -1.4010 eV per atom.

Cell lengths 7.6114, 13.2120, 7.7006 Å; angles 90.00, 109.43, 90.00 degrees
Last column: nearest neighbours and their distance in Å.
Space group C2/m (No. 12)
Unique sites:
Ce 0.2258 0.0000 0.2301 [4 per cell]  2 Se 3.00, 3 Te 3.11-3.19, 1 Bi 3.16
Ce 0.2454 0.1746 0.7616 [8 per cell]  2 Se 3.01-3.02, 3 Te 3.14-3.23, 1 Bi 3.18
Bi 0.0000 0.5000 0.0000 [2 per cell]  6 Ce 3.16-3.18
Te 0.0000 0.0000 0.5000 [2 per cell]  6 Ce 3.11-3.22
Te 0.0000 0.3412 0.5000 [4 per cell]  6 Ce 3.14-3.23
Se 0.0000 0.1684 0.0000 [4 per cell]  6 Ce 3.00-3.02

---

# Ce4BiTe2Se

A relaxed Ce4BiTe2Se crystal (PBE-GGA, Alexandria via LeMat-Bulk).

The total magnetic moment comes out at 4.34 μB/cell. As for the crystal system: monoclinic. Its uncorrected formation energy is -1.3127 eV per atom.

Cell lengths 7.6835, 4.4484, 7.7549 Å; angles 90.00, 109.41, 90.00 degrees
Last column: nearest neighbours and their distance in Å.
Space group P2/m (No. 10)
Unique sites:
Ce 0.2354 0.0000 0.2316 [2 per cell]  2 Se 3.05, 3 Te 3.13-3.26, 1 Bi 3.18
Ce 0.2456 0.5000 0.7627 [2 per cell]  1 Se 3.04, 3 Te 3.12-3.26, 2 Bi 3.18
Bi 0.0000 0.0000 0.5000 [1 per cell]  6 Ce 3.18
Te 0.5000 0.0000 0.0000 [1 per cell]  6 Ce 3.12-3.13
Te 0.5000 0.5000 0.5000 [1 per cell]  6 Ce 3.26
Se 0.0000 0.5000 0.0000 [1 per cell]  6 Ce 3.04-3.05

---

# Ce6Bi2Te3Se

A relaxed Ce6Bi2Te3Se crystal (PBE-GGA, Alexandria via LeMat-Bulk).

The total magnetic moment comes out at 13.26 μB/cell. As for the crystal system: monoclinic. Its uncorrected formation energy is -1.2354 eV per atom.

Cell lengths 19.5227, 4.5003, 8.9498 Å; angles 90.00, 103.13, 90.00 degrees
Last column: nearest neighbours and their distance in Å.
Space group C2/m (No. 12)
Unique sites:
Ce 0.0039 0.0000 0.2690 [4 per cell]  2 Se 3.07, 3 Te 3.19-3.28, 1 Bi 3.21
Ce 0.1579 0.5000 0.5754 [4 per cell]  1 Se 3.00, 3 Te 3.16-3.25, 2 Bi 3.20
Ce 0.1658 0.5000 0.0872 [4 per cell]  3 Te 3.15, 3 Bi 3.20-3.22
Bi 0.1649 0.0000 0.8330 [4 per cell]  6 Ce 3.20-3.22
Te 0.0000 0.5000 0.0000 [2 per cell]  6 Ce 3.15-3.28
Te 0.1715 0.0000 0.3363 [4 per cell]  6 Ce 3.15-3.25
Se 0.0000 0.5000 0.5000 [2 per cell]  6 Ce 3.00-3.07

---

# Ce2Tl3BiSe6

A relaxed Ce2Tl3BiSe6 crystal (PBE-GGA, Alexandria via LeMat-Bulk).

The total magnetic moment comes out at 3.94 μB/cell. As for the crystal system: monoclinic. Its uncorrected formation energy is -1.0269 eV per atom.

Cell lengths 7.5040, 13.0067, 8.1163 Å; angles 90.00, 108.00, 90.00 degrees
Last column: nearest neighbours and their distance in Å.
Space group C2/m (No. 12)
Unique sites:
Ce 0.0000 0.1666 0.0000 [4 per cell]  6 Se 2.98
Tl 0.0000 0.0000 0.5000 [2 per cell]  6 Se 3.34-3.36
Tl 0.0000 0.3328 0.5000 [4 per cell]  6 Se 3.34-3.36
Bi 0.0000 0.5000 0.0000 [2 per cell]  6 Se 2.99-3.00
Se 0.2359 0.0000 0.2115 [4 per cell]  2 Ce 2.98, 1 Bi 3.00
Se 0.2373 0.3327 0.2101 [8 per cell]  2 Ce 2.98, 1 Bi 2.99

---

# CeTl3Bi2Se6

A relaxed CeTl3Bi2Se6 crystal (PBE-GGA, Alexandria via LeMat-Bulk).

The total magnetic moment comes out at 1.86 μB/cell. As for the crystal system: monoclinic. Its uncorrected formation energy is -0.7373 eV per atom.

Cell lengths 7.4806, 12.9677, 8.0958 Å; angles 90.00, 108.00, 90.00 degrees
Last column: nearest neighbours and their distance in Å.
Space group C2/m (No. 12)
Unique sites:
Ce 0.0000 0.0000 0.0000 [2 per cell]  6 Se 2.98
Tl 0.0000 0.1671 0.5000 [4 per cell]  6 Se 3.33-3.34
Tl 0.0000 0.5000 0.5000 [2 per cell]  6 Se 3.33-3.34
Bi 0.0000 0.3336 0.0000 [4 per cell]  6 Se 2.98-2.99
Se 0.2374 0.5000 0.2123 [4 per cell]  2 Bi 2.98, 1 Ce 2.98
Se 0.2376 0.1666 0.2131 [8 per cell]  1 Ce 2.98, 2 Bi 2.99, 3 Tl 3.33

---

Q: Among the records above, which one has the highest uncorrected formation energy?
A: CeTl3Bi2Se6